Li3La7Fe2O16 | PBE+U | optimized geometry

```
data_Li3La7Fe2O16
_chemical_formula_sum 'Li6 La14 Fe4 O32'
_cell_length_a 10.752
_cell_length_b 10.823
_cell_length_c 6.878
_cell_angle_alpha 90.00
_cell_angle_beta 113.20
_cell_angle_gamma 90.00
_space_group_name_H-M_alt 'C 1 m 1'
_space_group_IT_number 8
loop_
_space_group_symop_operation_xyz
'x,y,z'
'x,-y,z'
'x+1/2,y+1/2,z'
'x+1/2,-y+1/2,z'
loop_
_atom_site_label
_atom_site_fract_x
_atom_site_fract_y
_atom_site_fract_z
_atom_site_occupancy
Li1 0.000 0.000 0.000 1
Li2 0.456 0.252 0.838 1
La1 0.018 0.500 0.095 1
La2 0.130 0.251 0.536 1
La3 0.274 0.253 0.090 1
La4 0.374 0.000 0.536 1
La5 0.386 0.500 0.543 1
Fe1 0.199 0.000 0.819 1
Fe2 0.201 0.500 0.816 1
O1 0.027 0.278 0.179 1
O2 0.072 0.379 0.800 1
O3 0.080 0.122 0.827 1
O4 0.115 0.000 0.506 1
O5 0.126 0.500 0.495 1
O6 0.265 0.500 0.140 1
O7 0.297 0.000 0.150 1
O8 0.319 0.121 0.804 1
O9 0.325 0.381 0.819 1
O10 0.352 0.256 0.450 1
```

Values from the calculation:
Uncorrected energy = -7.339 eV/atom